VASP calculation (PBE-GGA) on a relaxed structure of KLiCr2.

Values from the calculation:
Volume: 70 Å³/f.u.
Energy of formation from the pure elements: 1.404 eV per atom
E above lowest polymorph: 788.7 meV/atom
Density of states at the Fermi level: 0.97 states/eV per atom
Space group: No. 122
E_tot: -4.160 eV per atom
Total magnetization: 0.828 μB/cell

Cell lengths 3.549, 3.549, 11.437 Å; angles 81.08, 81.08, 90.00 degrees
Site moments in Bohr magnetons follow the coordinates.
Fractional coordinates of all 8 atoms:
Cr1 0.184 0.125 0.250  0.16
Cr2 0.566 0.625 0.250  0.15
Cr3 0.375 0.816 0.750  0.21
Cr4 0.875 0.434 0.750  0.20
K1 0.000 0.000 0.000  0.01
K2 0.750 0.250 0.500  0.01
Li1 0.500 0.500 0.000  0.00
Li2 0.250 0.750 0.500  0.00



VASP calculation (PBE-GGA) on a relaxed structure of LiCa2CeAu4.

Values from the calculation:
Volume: 186 Å³/f.u.
Energy of formation from the pure elements: -0.653 eV per atom
Density of states at the Fermi level: 1.37 states/eV per atom
Space group: No. 166
E_tot: -3.773 eV per atom
Total magnetization: 0.910 μB/cell

Cell lengths 5.094, 5.094, 8.774 Å; angles 73.12, 73.12, 60.00 degrees
Site moments in Bohr magnetons follow the coordinates.
Fractional coordinates of all 8 atoms:
Li1 0.500 0.500 0.500  0.00
Ca1 0.758 0.758 0.727  0.00
Ca2 0.242 0.242 0.273  0.00
Ce1 0.000 0.000 0.000  0.75
Au1 0.375 0.375 0.876  0.01
Au2 0.878 0.878 0.365  0.00
Au3 0.122 0.122 0.635  0.00
Au4 0.625 0.625 0.124  0.01



VASP calculation (PBE-GGA) on a relaxed structure of Th2ZnPd.

Values from the calculation:
Volume: 98 Å³/f.u.
Energy of formation from the pure elements: -0.456 eV per atom
E above lowest polymorph: 0.0 meV/atom
Density of states at the Fermi level: 1.08 states/eV per atom
Space group: No. 38
E_tot: -5.783 eV per atom
Total magnetization: 0.000 μB/cell

Cell lengths 4.408, 3.800, 6.160 Å; angles 107.96, 90.00, 90.00 degrees
Fractional coordinates of all 4 atoms:
Th1 0.000 0.974 0.947
Th2 0.500 0.276 0.551
Zn1 0.500 0.557 0.113
Pd1 0.000 0.693 0.387



VASP calculation (PBE-GGA) on a relaxed structure of Gd3In5S12.

Values from the calculation:
Volume: 490 Å³/f.u.
Formation energy (no corrections): -21.85 eV per formula unit
Space group: No. 230
E_tot: -6.366 eV per atom
Total magnetization: 83.745 μB/cell

Cell lengths 13.651, 13.651, 13.651 Å; angles 109.47, 109.47, 109.47 degrees
Site moments in Bohr magnetons follow the coordinates.
Fractional coordinates of all 80 atoms:
Gd1 0.750 0.375 0.125  6.92
Gd2 0.875 0.750 0.125  6.92
Gd3 0.375 0.750 0.625  6.92
Gd4 0.250 0.125 0.375  6.92
Gd5 0.875 0.125 0.250  6.92
Gd6 0.375 0.625 0.250  6.92
Gd7 0.625 0.375 0.750  6.92
Gd8 0.125 0.875 0.750  6.92
Gd9 0.750 0.875 0.625  6.92
Gd10 0.625 0.250 0.375  6.92
Gd11 0.125 0.250 0.875  6.92
Gd12 0.250 0.625 0.875  6.92
In1 0.125 0.375 0.250  0.00
In2 0.000 0.500 0.000  0.00
In3 0.000 0.000 0.000  0.00
In4 0.375 0.250 0.125  0.00
In5 0.500 0.000 0.500  0.00
In6 0.500 0.500 0.000  0.00
In7 0.125 0.750 0.375  0.00
In8 0.750 0.125 0.875  0.00
In9 0.750 0.625 0.375  0.00
In10 0.375 0.125 0.750  0.00
In11 0.625 0.875 0.250  0.00
In12 0.500 0.500 0.500  0.00
In13 0.500 0.000 0.000  0.00
In14 0.000 0.000 0.500  0.00
In15 0.250 0.375 0.625  0.00
In16 0.250 0.875 0.125  0.00
In17 0.000 0.500 0.500  0.00
In18 0.875 0.250 0.625  0.00
In19 0.625 0.750 0.875  0.00
In20 0.875 0.625 0.750  0.00
S1 0.717 0.130 0.043  -0.01
S2 0.326 0.543 0.413  -0.01
S3 0.957 0.370 0.283  -0.01
S4 0.543 0.217 0.130  -0.01
S5 0.586 0.717 0.674  -0.01
S6 0.957 0.587 0.174  -0.01
S7 0.326 0.783 0.414  -0.01
S8 0.087 0.914 0.130  -0.01
S9 0.587 0.957 0.674  -0.01
S10 0.717 0.586 0.174  -0.01
S11 0.783 0.457 0.370  -0.01
S12 0.826 0.913 0.043  -0.01
S13 0.130 0.717 0.543  -0.01
S14 0.370 0.413 0.086  -0.01
S15 0.086 0.913 0.370  -0.01
S16 0.414 0.130 0.587  -0.01
S17 0.086 0.174 0.217  -0.01
S18 0.457 0.674 0.087  -0.01
S19 0.826 0.914 0.283  -0.01
S20 0.130 0.414 0.087  -0.01
S21 0.370 0.957 0.783  -0.01
S22 0.587 0.630 0.414  -0.01
S23 0.913 0.826 0.543  -0.01
S24 0.783 0.326 0.914  -0.01
S25 0.413 0.370 0.586  -0.01
S26 0.087 0.174 0.457  -0.01
S27 0.217 0.674 0.086  -0.01
S28 0.174 0.086 0.717  -0.01
S29 0.630 0.043 0.217  -0.01
S30 0.870 0.586 0.913  -0.01
S31 0.543 0.326 0.913  -0.01
S32 0.586 0.870 0.413  -0.01
S33 0.914 0.826 0.783  -0.01
S34 0.914 0.087 0.630  -0.01
S35 0.870 0.283 0.457  -0.01
S36 0.174 0.087 0.957  -0.01
S37 0.630 0.587 0.914  -0.01
S38 0.413 0.043 0.326  -0.01
S39 0.283 0.414 0.826  -0.01
S40 0.217 0.543 0.630  -0.01
S41 0.913 0.086 0.870  -0.01
S42 0.674 0.217 0.586  -0.01
S43 0.457 0.783 0.870  -0.01
S44 0.043 0.413 0.826  -0.01
S45 0.414 0.283 0.326  -0.01
S46 0.043 0.630 0.717  -0.01
S47 0.674 0.457 0.587  -0.01
S48 0.283 0.870 0.957  -0.01